A relaxed Pr2SmEr crystal. Source: Alexandria, functional PBE.

ΔE to the lowest computed polymorph, eV/atom: 0.002
D(E_F), states/eV per atom: 1.54
V, Å³ per atom: 34.1
ΔH_f (0 K), eV per formula unit: 0.1
Magnetic moment, μB/cell: 0.0

Geometry as CIF:
```
data_Pr2SmEr
_symmetry_space_group_name_H-M 'P 4/m m m'
_symmetry_Int_Tables_number 123
_symmetry_space_group_name_Hall '-P 4 2'
_cell_length_a 5.164
_cell_length_b 5.164
_cell_length_c 5.108
_cell_angle_alpha 90.00
_cell_angle_beta 90.00
_cell_angle_gamma 90.00
loop_
_atom_site_label
_atom_site_type_symbol
_atom_site_fract_x
_atom_site_fract_y
_atom_site_fract_z
Pr1 Pr 0.000 0.500 0.000
Sm1 Sm 0.000 0.000 0.500
Er1 Er 0.500 0.500 0.500
```